# Sc11Al9Rh4 (PBE, relaxed)
# E_tot in eV per atom: -6.203
# Magnetic moment in μB/f.u.: 0.000
# Fermi-level density of states in states/eV per cell: 14.06
# V in Å³/cell: 452.93
# Formation energy from the elements in eV per formula unit: -16.14
data_Sc11Al9Rh4
_chemical_formula_sum 'Sc11 Al9 Rh4'
_symmetry_space_group_name_H-M 'P 1'
_symmetry_Int_Tables_number 1
_symmetry_space_group_name_Hall 'P 1'
_cell_length_a 3.349
_cell_length_b 12.103
_cell_length_c 12.103
_cell_angle_alpha 112.60
_cell_angle_beta 90.00
_cell_angle_gamma 90.00
loop_
_atom_site_label
_atom_site_type_symbol
_atom_site_fract_x
_atom_site_fract_y
_atom_site_fract_z
Sc1 Sc 0.000 0.589 0.934
Sc2 Sc 0.000 0.411 0.066
Sc3 Sc 0.000 0.934 0.589
Sc4 Sc 0.000 0.066 0.411
Sc5 Sc 0.000 0.628 0.372
Sc6 Sc 0.000 0.372 0.628
Sc7 Sc 0.000 0.838 0.162
Sc8 Sc 0.000 0.162 0.838
Sc9 Sc 0.000 0.000 0.000
Sc10 Sc 0.000 0.695 0.695
Sc11 Sc 0.000 0.305 0.305
Al1 Al 0.500 0.632 0.161
Al2 Al 0.500 0.368 0.839
Al3 Al 0.500 0.161 0.632
Al4 Al 0.500 0.839 0.368
Al5 Al 0.500 0.785 0.926
Al6 Al 0.500 0.215 0.074
Al7 Al 0.500 0.926 0.785
Al8 Al 0.500 0.074 0.215
Al9 Al 0.500 0.500 0.500
Rh1 Rh 0.500 0.553 0.757
Rh2 Rh 0.500 0.447 0.243
Rh3 Rh 0.500 0.757 0.553
Rh4 Rh 0.500 0.243 0.447